Entry 1:
8
Lattice="-0.534 5.161 -4.991 2.510 -1.148 -6.649 -5.252 -1.035 -5.703" Properties=species:S:1:pos:R:3 comment="BiRhI6 (PBE, relaxed)" final_energy_ev_per_cell=-22.36 magnetic_moment_mub_per_atom=0.00 formation_energy_uncorrected_ev_per_atom=-0.23 pbc="T T T"
Bi -1.638 1.490 -8.672
Rh 0.000 0.000 0.000
I -3.056 -0.969 -7.293
I -4.307 3.172 -8.631
I -0.995 2.612 -5.793
I 1.031 -0.193 -8.712
I -0.220 3.948 -10.050
I -2.281 0.367 -11.550

=====

Entry 2:
12
Lattice="-3.326 -4.453 -3.251 4.136 -6.238 4.313 -5.987 5.531 5.092" Properties=species:S:1:pos:R:3 comment="Bi4RhI (PBE, relaxed)" final_energy_ev_per_cell=-50.74 magnetic_moment_mub_per_atom=0.00 formation_energy_uncorrected_ev_per_atom=-0.16 pbc="T T T"
Bi 0.370 -3.160 3.726
Bi -5.288 1.239 3.534
Bi 0.983 -1.483 1.025
Bi -1.482 -3.998 0.960
Bi -5.547 -2.000 2.427
Bi 0.111 -6.399 2.620
Bi 3.153 -4.755 3.288
Bi -3.695 -1.162 5.194
Rh -4.678 1.209 6.235
Rh -0.499 -6.369 -0.082
I -3.577 -5.818 3.667
I -1.600 0.658 2.486

=====

Entry 3:
5
Lattice="5.024 0.000 0.000 0.000 6.153 0.000 0.000 0.000 5.024" Properties=species:S:1:pos:R:3 comment="BiRu2RhI (PBE, relaxed)" final_energy_ev_per_cell=-20.84 magnetic_moment_mub_per_atom=1.01 formation_energy_uncorrected_ev_per_atom=2.10 pbc="T T T"
I 0.000 3.076 0.000
Ru 0.000 0.000 2.512
Ru 2.512 0.000 0.000
Rh 2.512 3.076 2.512
Bi 0.000 0.000 0.000

=====

Entry 4:
5
Lattice="5.387 0.000 0.000 0.000 5.387 0.000 0.000 0.000 5.215" Properties=species:S:1:pos:R:3 comment="BiSbRhI2 (PBE, relaxed)" final_energy_ev_per_cell=-17.12 magnetic_moment_mub_per_atom=0.00 formation_energy_uncorrected_ev_per_atom=0.27 pbc="T T T"
I 0.000 2.693 0.000
I 2.693 0.000 0.000
Sb 0.000 0.000 2.608
Rh 0.000 0.000 0.000
Bi 2.693 2.693 2.608

=====

Entry 5:
5
Lattice="-1.655 4.840 2.740 -5.510 -1.816 -0.122 0.773 -2.698 5.232" Properties=species:S:1:pos:R:3 comment="BiSb2RhI (PBE, relaxed)" final_energy_ev_per_cell=-14.03 magnetic_moment_mub_per_atom=0.01 formation_energy_uncorrected_ev_per_atom=1.40 pbc="T T T"
I 0.387 -1.349 2.616
Sb -2.755 -0.908 -0.061
Sb -0.828 2.420 1.370
Rh -3.196 0.163 3.925
Bi 0.000 0.000 0.000

=====

Entry 6:
5
Lattice="6.109 0.000 0.000 0.000 6.109 0.000 0.000 0.000 5.962" Properties=species:S:1:pos:R:3 comment="BiSbRhI2 (PBE, relaxed)" final_energy_ev_per_cell=-12.89 magnetic_moment_mub_per_atom=0.54 formation_energy_uncorrected_ev_per_atom=1.11 pbc="T T T"
I 0.000 3.054 0.000
I 3.054 0.000 0.000
Sb 0.000 0.000 2.981
Rh 3.054 3.054 2.981
Bi 0.000 0.000 0.000